[1]
Density functional theory data (GGA-PBEsol) for Zn2CdPt after structural relaxation.

Cell lengths 3.823, 3.823, 4.959 Å; angles 112.67, 112.67, 90.00 degrees
Fractional positions:
Zn1 0.000 0.000 0.000
Zn2 0.750 0.250 0.500
Pt1 0.250 0.750 0.500
Cd1 0.500 0.500 0.000

V in Å³ per cell: 61
Theoretical density in g/cm3: 11.98
Formation enthalpy at 0 K in eV/atom: -0.286



[2]
Density functional theory data (GGA-PBEsol) for CaGe3Cl after structural relaxation.

Cell lengths 5.459, 5.459, 5.459 Å; angles 90.00, 90.00, 90.00 degrees
Fractional positions:
Ge1 0.000 0.500 0.000
Ge2 0.000 0.000 0.500
Ge3 0.500 0.000 0.000
Ca1 0.000 0.000 0.000
Cl1 0.500 0.500 0.500

V in Å³ per cell: 163
Formation energy without anion corrections in eV per atom: 1.016
Theoretical density in g/cm3: 2.99



[3]
Density functional theory data (GGA-PBEsol) for Sr2PrO4 after structural relaxation.

Cell lengths 3.694, 6.202, 10.147 Å; angles 90.00, 90.00, 90.00 degrees
Fractional positions:
Sr1 0.500 0.066 0.322
Sr2 0.500 0.934 0.678
Sr3 0.500 0.434 0.822
Sr4 0.500 0.566 0.178
Pr1 0.000 0.000 0.000
Pr2 0.000 0.500 0.500
O1 0.000 0.153 0.793
O2 0.000 0.847 0.207
O3 0.000 0.653 0.707
O4 0.000 0.347 0.293
O5 0.500 0.264 0.545
O6 0.500 0.736 0.455
O7 0.500 0.236 0.045
O8 0.500 0.764 0.955

V in Å³ per cell: 232
Formation energy without anion corrections in eV per atom: -2.687
Theoretical density in g/cm3: 5.43



[4]
Density functional theory data (GGA-PBEsol) for ScHF2 after structural relaxation.

Cell lengths 2.963, 2.963, 5.956 Å; angles 75.60, 75.60, 60.00 degrees
Fractional positions:
Sc1 0.500 0.500 0.500
H1 0.000 0.000 0.000
F1 0.933 0.933 0.201
F2 0.067 0.067 0.799

Energy above the most stable polymorph in this dataset in meV per atom: 473
V in Å³ per cell: 43
Theoretical density in g/cm3: 3.21



[5]
Density functional theory data (GGA-PBEsol) for NaErCu2F8 after structural relaxation.

Cell lengths 5.337, 5.337, 6.311 Å; angles 115.01, 115.01, 90.00 degrees
Fractional positions:
Na1 0.500 0.500 0.000
Er1 0.000 0.000 0.000
Cu1 0.250 0.750 0.500
Cu2 0.750 0.250 0.500
F1 0.572 0.712 0.759
F2 0.188 0.048 0.759
F3 0.712 0.188 0.759
F4 0.812 0.288 0.241
F5 0.048 0.572 0.759
F6 0.428 0.952 0.241
F7 0.952 0.812 0.241
F8 0.288 0.428 0.241

V in Å³ per cell: 144
Formation energy without anion corrections in eV per atom: -2.627
Theoretical density in g/cm3: 5.41



[6]
Density functional theory data (GGA-PBEsol) for LiMgTc after structural relaxation.

Cell lengths 4.148, 4.148, 4.148 Å; angles 60.00, 60.00, 60.00 degrees
Fractional positions:
Mg1 0.000 0.000 0.000
Tc1 0.500 0.500 0.500
Li1 0.750 0.750 0.750

V in Å³ per cell: 50
Theoretical density in g/cm3: 4.25
Formation enthalpy at 0 K in eV/atom: 1.120



[7]
Density functional theory data (GGA-PBEsol) for Mg2ReHgBi after structural relaxation.

Cell lengths 4.972, 4.972, 5.657 Å; angles 90.00, 90.00, 90.00 degrees
Fractional positions:
Re1 0.500 0.500 0.500
Mg1 0.000 0.500 0.000
Mg2 0.500 0.000 0.000
Bi1 0.000 0.000 0.500
Hg1 0.000 0.000 0.000

V in Å³ per cell: 140
Theoretical density in g/cm3: 7.65
Formation enthalpy at 0 K in eV/atom: 1.421



[8]
Density functional theory data (GGA-PBEsol) for LiTi3Zn2O8 after structural relaxation.

Cell lengths 8.377, 8.377, 8.377 Å; angles 90.00, 90.00, 90.00 degrees
Fractional positions:
Li1 0.375 0.375 0.375
Li2 0.125 0.625 0.875
Li3 0.625 0.875 0.125
Li4 0.875 0.125 0.625
Ti1 0.125 0.128 0.378
Ti2 0.375 0.872 0.878
Ti3 0.875 0.628 0.122
Ti4 0.378 0.125 0.128
Ti5 0.878 0.375 0.872
Ti6 0.625 0.372 0.622
Ti7 0.622 0.625 0.372
Ti8 0.122 0.875 0.628
Ti9 0.128 0.378 0.125
Ti10 0.628 0.122 0.875
Ti11 0.372 0.622 0.625
Ti12 0.872 0.878 0.375
Zn1 0.751 0.751 0.751
Zn2 0.749 0.249 0.251
Zn3 0.249 0.251 0.749
Zn4 0.501 0.001 0.499
Zn5 0.251 0.749 0.249
Zn6 0.999 0.999 0.999
Zn7 0.001 0.499 0.501
Zn8 0.499 0.501 0.001
O1 0.134 0.134 0.134
O2 0.366 0.866 0.634
O3 0.866 0.634 0.366
O4 0.884 0.384 0.116
O5 0.634 0.366 0.866
O6 0.616 0.616 0.616
O7 0.384 0.116 0.884
O8 0.116 0.884 0.384
O9 0.123 0.358 0.361
O10 0.377 0.642 0.861
O11 0.877 0.858 0.139
O12 0.361 0.123 0.358
O13 0.108 0.373 0.889
O14 0.623 0.142 0.639
O15 0.861 0.377 0.642
O16 0.392 0.627 0.389
O17 0.139 0.877 0.858
O18 0.608 0.127 0.111
O19 0.639 0.623 0.142
O20 0.892 0.873 0.611
O21 0.358 0.361 0.123
O22 0.873 0.611 0.892
O23 0.858 0.139 0.877
O24 0.627 0.389 0.392
O25 0.142 0.639 0.623
O26 0.373 0.889 0.108
O27 0.642 0.861 0.377
O28 0.127 0.111 0.608
O29 0.889 0.108 0.373
O30 0.389 0.392 0.627
O31 0.611 0.892 0.873
O32 0.111 0.608 0.127

V in Å³ per cell: 588
Formation energy without anion corrections in eV per atom: -2.516
Theoretical density in g/cm3: 4.63



[9]
Density functional theory data (GGA-PBEsol) for SiHgRh2 after structural relaxation.

Cell lengths 2.870, 2.870, 7.025 Å; angles 90.00, 90.00, 90.00 degrees
Fractional positions:
Si1 0.500 0.500 0.000
Rh1 0.000 0.000 0.802
Rh2 0.000 0.000 0.198
Hg1 0.500 0.500 0.500

Energy above the most stable polymorph in this dataset in meV per atom: 0
V in Å³ per cell: 58
Formation energy without anion corrections in eV per atom: -0.544
Theoretical density in g/cm3: 12.47



[10]
Density functional theory data (GGA-PBEsol) for MgZn2GaC after structural relaxation.

Cell lengths 4.004, 4.986, 4.986 Å; angles 90.00, 90.00, 90.00 degrees
Fractional positions:
C1 0.500 0.000 0.000
Zn1 0.000 0.000 0.500
Zn2 0.000 0.500 0.000
Mg1 0.000 0.000 0.000
Ga1 0.500 0.500 0.500

V in Å³ per cell: 100
Theoretical density in g/cm3: 3.95
Formation enthalpy at 0 K in eV/atom: 1.333



[11]
Density functional theory data (GGA-PBEsol) for MgMoRu2 after structural relaxation.

Cell lengths 3.082, 4.310, 4.310 Å; angles 90.00, 90.00, 90.00 degrees
Fractional positions:
Ru1 0.000 0.000 0.500
Ru2 0.000 0.500 0.000
Mo1 0.500 0.000 0.000
Mg1 0.500 0.500 0.500

V in Å³ per cell: 57
Theoretical density in g/cm3: 9.35
Formation enthalpy at 0 K in eV/atom: 0.067



[12]
Density functional theory data (GGA-PBEsol) for ZrCd2Co after structural relaxation.

Cell lengths 2.790, 5.393, 5.393 Å; angles 117.80, 90.00, 90.00 degrees
Fractional positions:
Cd1 0.000 0.500 0.000
Cd2 0.000 0.000 0.500
Co1 0.500 0.000 0.000
Zr1 0.500 0.500 0.500

Energy above the most stable polymorph in this dataset in meV per atom: 208
V in Å³ per cell: 72
Theoretical density in g/cm3: 8.68
Formation enthalpy at 0 K in eV/atom: 0.249



[13]
Density functional theory data (GGA-PBEsol) for TcSbP2 after structural relaxation.

Cell lengths 3.418, 4.452, 4.578 Å; angles 90.00, 99.42, 90.00 degrees
Fractional positions:
P1 0.779 0.000 0.659
P2 0.221 0.000 0.341
Sb1 0.500 0.500 0.000
Tc1 0.000 0.500 0.500

V in Å³ per cell: 69
Formation energy without anion corrections in eV per atom: 0.074
Theoretical density in g/cm3: 6.81



[14]
Density functional theory data (GGA-PBEsol) for Al2PtAu after structural relaxation.

Cell lengths 3.306, 4.301, 4.744 Å; angles 104.16, 110.39, 90.00 degrees
Fractional positions:
Au1 0.496 0.449 0.991
Al1 0.992 0.942 0.983
Al2 0.753 0.293 0.506
Pt1 0.259 0.816 0.519

Energy above the most stable polymorph in this dataset in meV per atom: 20
V in Å³ per cell: 61
Theoretical density in g/cm3: 12.13
Formation enthalpy at 0 K in eV/atom: -0.674



[15]
Density functional theory data (GGA-PBEsol) for CaAgAu4 after structural relaxation.

Cell lengths 5.454, 5.454, 5.454 Å; angles 60.00, 60.00, 60.00 degrees
Fractional positions:
Ca1 0.750 0.750 0.750
Au1 0.375 0.375 0.375
Au2 0.375 0.375 0.876
Au3 0.876 0.375 0.375
Au4 0.375 0.876 0.375
Ag1 0.000 0.000 0.000

V in Å³ per cell: 115
Theoretical density in g/cm3: 13.54
Formation enthalpy at 0 K in eV/atom: -0.397



[16]
Density functional theory data (GGA-PBEsol) for In3Ir after structural relaxation.

Cell lengths 6.989, 6.989, 7.182 Å; angles 90.00, 90.00, 90.00 degrees
Fractional positions:
In1 0.348 0.348 0.256
In2 0.152 0.848 0.756
In3 0.152 0.848 0.244
In4 0.000 0.500 0.000
In5 0.848 0.152 0.244
In6 0.848 0.152 0.756
In7 0.500 0.000 0.000
In8 0.652 0.652 0.256
In9 0.652 0.652 0.744
In10 0.000 0.500 0.500
In11 0.348 0.348 0.744
In12 0.500 0.000 0.500
Ir1 0.154 0.154 0.000
Ir2 0.654 0.346 0.500
Ir3 0.346 0.654 0.500
Ir4 0.846 0.846 0.000

V in Å³ per cell: 351
Theoretical density in g/cm3: 10.16
Formation enthalpy at 0 K in eV/atom: -0.182



[17]
Density functional theory data (GGA-PBEsol) for HgP after structural relaxation.

Cell lengths 3.214, 3.214, 9.925 Å; angles 80.68, 80.68, 60.00 degrees
Fractional positions:
P1 0.355 0.355 0.936
P2 0.645 0.645 0.064
Hg1 0.117 0.117 0.649
Hg2 0.883 0.883 0.351

Energy above the most stable polymorph in this dataset in meV per atom: 0
V in Å³ per cell: 87
Theoretical density in g/cm3: 8.82
Formation enthalpy at 0 K in eV/atom: 0.052



[18]
Density functional theory data (GGA-PBEsol) for MgSc3 after structural relaxation.

Cell lengths 3.201, 4.588, 6.381 Å; angles 90.00, 90.00, 90.00 degrees
Fractional positions:
Sc1 0.500 0.500 0.744
Sc2 0.000 0.000 0.500
Sc3 0.500 0.500 0.256
Mg1 0.000 0.000 0.000

Energy above the most stable polymorph in this dataset in meV per atom: 43
V in Å³ per cell: 94
Theoretical density in g/cm3: 2.82
Formation enthalpy at 0 K in eV/atom: 0.037



[19]
Density functional theory data (GGA-PBEsol) for HoCo3 after structural relaxation.

Cell lengths 4.862, 4.862, 8.454 Å; angles 73.29, 73.29, 60.00 degrees
Fractional positions:
Ho1 0.000 0.000 0.000
Ho2 0.860 0.860 0.419
Ho3 0.140 0.140 0.581
Co1 0.500 0.500 0.500
Co2 0.665 0.665 0.004
Co3 0.335 0.335 0.996
Co4 0.418 0.921 0.244
Co5 0.921 0.418 0.244
Co6 0.418 0.418 0.244
Co7 0.582 0.079 0.756
Co8 0.079 0.582 0.756
Co9 0.582 0.582 0.756

V in Å³ per cell: 163
Theoretical density in g/cm3: 10.43
Formation enthalpy at 0 K in eV/atom: -0.193



[20]
Density functional theory data (GGA-PBEsol) for ZnCu2Hg after structural relaxation.

Cell lengths 2.825, 2.825, 8.589 Å; angles 80.54, 80.54, 60.00 degrees
Fractional positions:
Cu1 0.257 0.257 0.230
Cu2 0.743 0.743 0.770
Hg1 0.500 0.500 0.500
Zn1 0.000 0.000 0.000

V in Å³ per cell: 58
Theoretical density in g/cm3: 11.20
Formation enthalpy at 0 K in eV/atom: 0.139



[21]
Density functional theory data (GGA-PBEsol) for ZnSbTe2 after structural relaxation.

Cell lengths 4.238, 4.238, 6.475 Å; angles 109.10, 109.10, 90.00 degrees
Fractional positions:
Sb1 0.250 0.750 0.500
Te1 0.000 0.000 0.000
Te2 0.750 0.250 0.500
Zn1 0.500 0.500 0.000

V in Å³ per cell: 103
Formation energy without anion corrections in eV per atom: 0.235
Theoretical density in g/cm3: 7.13



[22]
Density functional theory data (GGA-PBEsol) for SnAsWBr2 after structural relaxation.

Cell lengths 4.921, 5.043, 5.043 Å; angles 90.00, 90.00, 90.00 degrees
Fractional positions:
As1 0.500 0.000 0.000
Br1 0.000 0.000 0.500
Br2 0.000 0.500 0.000
Sn1 0.500 0.500 0.500
W1 0.000 0.000 0.000

V in Å³ per cell: 125
Formation energy without anion corrections in eV per atom: 0.508
Theoretical density in g/cm3: 7.13



[23]
Density functional theory data (GGA-PBEsol) for AgTeMo3 after structural relaxation.

Cell lengths 4.820, 4.820, 4.820 Å; angles 90.00, 90.00, 90.00 degrees
Fractional positions:
Mo1 0.000 0.500 0.000
Mo2 0.000 0.000 0.500
Mo3 0.500 0.000 0.000
Te1 0.000 0.000 0.000
Ag1 0.500 0.500 0.500

V in Å³ per cell: 112
Formation energy without anion corrections in eV per atom: 2.070
Theoretical density in g/cm3: 7.76



[24]
Density functional theory data (GGA-PBEsol) for HAuO2 after structural relaxation.

Cell lengths 4.051, 4.689, 5.382 Å; angles 92.70, 90.01, 115.49 degrees
Fractional positions:
H1 0.934 0.999 0.250
H2 0.066 0.001 0.750
Au1 0.000 0.500 0.000
Au2 0.500 0.500 0.500
O1 0.239 0.279 0.798
O2 0.959 0.721 0.703
O3 0.761 0.721 0.202
O4 0.041 0.279 0.297

Energy above the most stable polymorph in this dataset in meV per atom: 0
V in Å³ per cell: 92
Theoretical density in g/cm3: 8.29



[25]
Density functional theory data (GGA-PBEsol) for YCo2Re after structural relaxation.

Cell lengths 3.051, 3.051, 6.464 Å; angles 90.00, 90.00, 90.00 degrees
Fractional positions:
Y1 0.500 0.500 0.765
Re1 0.000 0.000 0.428
Co1 0.000 0.000 0.056
Co2 0.500 0.500 0.251

Energy above the most stable polymorph in this dataset in meV per atom: 4
V in Å³ per cell: 60
Theoretical density in g/cm3: 10.84
Formation enthalpy at 0 K in eV/atom: 0.258